Entry 1:
{"formula": "KBe2Bi2", "functional": "GGA-PBE", "state": "relaxed", "space_group": "I4/mmm (139)", "m_tot_mub_per_cell": 0.0, "delta_e_f_ev_per_atom": 0.05, "dos_at_fermi_per_ev_cell": 0.82, "cell": [[-1.976, 1.976, 8.369], [1.976, -1.976, 8.369], [1.976, 1.976, -8.369]], "species": ["K", "Be", "Be", "Bi", "Bi"], "frac_coords": [[0.000, 0.000, 0.000], [0.250, 0.750, 0.500], [0.750, 0.250, 0.500], [0.351, 0.351, 0.000], [0.649, 0.649, 0.000]]}


Entry 2:
{"formula": "Ce8In2Ir3", "functional": "GGA-PBE", "state": "relaxed", "space_group": "C2/m (12)", "m_tot_mub_per_cell": 5.1, "delta_e_f_ev_per_atom": -0.34, "dos_at_fermi_per_ev_cell": 35.44, "cell": [[7.590, -5.145, 0.000], [7.590, 5.145, 0.000], [-0.950, 0.000, 4.349]], "species": ["Ce", "Ce", "Ce", "Ce", "Ce", "Ce", "Ce", "Ce", "In", "In", "Ir", "Ir", "Ir"], "frac_coords": [[0.056, 0.056, 0.277], [0.116, 0.635, 0.908], [0.365, 0.884, 0.092], [0.377, 0.377, 0.434], [0.623, 0.623, 0.566], [0.635, 0.116, 0.908], [0.884, 0.365, 0.092], [0.944, 0.944, 0.723], [0.223, 0.223, 0.823], [0.777, 0.777, 0.177], [0.277, 0.723, 0.500], [0.500, 0.500, 0.000], [0.723, 0.277, 0.500]]}


Entry 3:
{"formula": "Sc8ZnOs2", "functional": "GGA-PBE", "state": "relaxed", "space_group": "Immm (71)", "m_tot_mub_per_cell": 0.0, "delta_e_f_ev_per_atom": -0.22, "dos_at_fermi_per_ev_cell": 9.74, "cell": [[-2.322, 3.855, 6.327], [2.322, -3.855, 6.327], [2.322, 3.855, -6.327]], "species": ["Sc", "Sc", "Sc", "Sc", "Sc", "Sc", "Sc", "Sc", "Zn", "Os", "Os"], "frac_coords": [[0.126, 0.337, 0.789], [0.140, 0.140, 0.000], [0.326, 0.000, 0.326], [0.452, 0.663, 0.789], [0.548, 0.337, 0.211], [0.674, 0.000, 0.674], [0.860, 0.860, 0.000], [0.874, 0.663, 0.211], [0.000, 0.500, 0.500], [0.306, 0.806, 0.500], [0.694, 0.194, 0.500]]}


Entry 4:
{"formula": "Mg6Cd6Pb", "functional": "GGA-PBE", "state": "relaxed", "space_group": "Cmmm (65)", "m_tot_mub_per_cell": 0.0, "delta_e_f_ev_per_atom": -0.01, "dos_at_fermi_per_ev_cell": 6.89, "cell": [[2.950, -5.116, 0.000], [2.950, 5.116, 0.000], [0.000, 0.000, 10.157]], "species": ["Mg", "Mg", "Mg", "Mg", "Mg", "Mg", "Cd", "Cd", "Cd", "Cd", "Cd", "Cd", "Pb"], "frac_coords": [[0.000, 0.000, 0.150], [0.000, 0.000, 0.850], [0.333, 0.667, 0.000], [0.333, 0.667, 0.500], [0.667, 0.333, 0.000], [0.667, 0.333, 0.500], [0.000, 0.500, 0.251], [0.000, 0.500, 0.749], [0.500, 0.000, 0.251], [0.500, 0.000, 0.749], [0.500, 0.500, 0.251], [0.500, 0.500, 0.749], [0.000, 0.000, 0.500]]}


Entry 5:
{"formula": "Mn2B2Pt", "functional": "GGA-PBE", "state": "relaxed", "space_group": "P4/mbm (127)", "m_tot_mub_per_cell": 1.3, "delta_e_f_ev_per_atom": 0.33, "dos_at_fermi_per_ev_cell": 7.44, "cell": [[6.330, 0.000, 0.000], [0.000, 6.330, 0.000], [0.000, 0.000, 2.523]], "species": ["Mn", "Mn", "Mn", "Mn", "B", "B", "B", "B", "Pt", "Pt"], "frac_coords": [[0.120, 0.380, 0.000], [0.380, 0.880, 0.000], [0.620, 0.120, 0.000], [0.880, 0.620, 0.000], [0.173, 0.673, 0.500], [0.327, 0.173, 0.500], [0.673, 0.827, 0.500], [0.827, 0.327, 0.500], [0.000, 0.000, 0.000], [0.500, 0.500, 0.000]]}


Entry 6:
{"formula": "Pa2GeOs", "functional": "GGA-PBE", "state": "relaxed", "space_group": "P4/mmm (123)", "m_tot_mub_per_cell": 0.0, "delta_e_f_ev_per_atom": -0.33, "dos_at_fermi_per_ev_cell": 6.39, "cell": [[4.356, 0.000, 0.000], [0.000, 4.356, 0.000], [0.000, 0.000, 4.216]], "species": ["Pa", "Pa", "Ge", "Os"], "frac_coords": [[0.000, 0.500, 0.000], [0.500, 0.000, 0.000], [0.000, 0.000, 0.500], [0.500, 0.500, 0.500]]}


Entry 7:
{"formula": "TbY2Pt", "functional": "GGA-PBE", "state": "relaxed", "space_group": "R-3m (166)", "m_tot_mub_per_cell": 0.0, "delta_e_f_ev_per_atom": -0.28, "dos_at_fermi_per_ev_cell": 6.76, "cell": [[1.840, 1.063, 10.621], [-1.840, 1.063, 10.621], [0.000, -2.125, 10.621]], "species": ["Tb", "Y", "Y", "Pt"], "frac_coords": [[0.000, 0.000, 0.000], [0.109, 0.109, 0.109], [0.891, 0.891, 0.891], [0.500, 0.500, 0.500]]}


Entry 8:
{"formula": "Bi2Pd3S2", "functional": "GGA-PBE", "state": "relaxed", "space_group": "C2/m (12)", "m_tot_mub_per_cell": 0.0, "e_form_raw_kj_per_mol_fu": -237, "dos_at_fermi_per_ev_cell": 4.05, "cell": [[5.986, -4.226, 0.000], [5.986, 4.226, 0.000], [-5.849, 0.000, 5.990]], "species": ["Bi", "Bi", "Bi", "Bi", "Pd", "Pd", "Pd", "Pd", "Pd", "Pd", "S", "S", "S", "S"], "frac_coords": [[0.225, 0.225, 0.224], [0.253, 0.253, 0.762], [0.747, 0.747, 0.238], [0.775, 0.775, 0.776], [0.000, 0.500, 0.000], [0.026, 0.026, 0.302], [0.274, 0.726, 0.000], [0.500, 0.000, 0.000], [0.726, 0.274, 0.000], [0.974, 0.974, 0.698], [0.256, 0.698, 0.696], [0.302, 0.744, 0.304], [0.698, 0.256, 0.696], [0.744, 0.302, 0.304]]}


Entry 9:
{"formula": "Rb2NpS4", "functional": "GGA-PBE", "state": "relaxed", "space_group": "Pbam (55)", "m_tot_mub_per_cell": 2.0, "e_form_raw_kj_per_mol_fu": -748, "dos_at_fermi_per_ev_cell": 10.15, "cell": [[8.171, 0.000, 0.000], [0.000, 13.181, 0.000], [0.000, 0.000, 4.132]], "species": ["Rb", "Rb", "Rb", "Rb", "Np", "Np", "S", "S", "S", "S", "S", "S", "S", "S"], "frac_coords": [[0.069, 0.176, 0.000], [0.431, 0.676, 0.000], [0.569, 0.324, 0.000], [0.931, 0.824, 0.000], [0.000, 0.500, 0.500], [0.500, 0.000, 0.500], [0.120, 0.669, 0.500], [0.186, 0.451, 0.000], [0.314, 0.951, 0.000], [0.380, 0.169, 0.500], [0.620, 0.831, 0.500], [0.686, 0.049, 0.000], [0.814, 0.549, 0.000], [0.880, 0.331, 0.500]]}


Entry 10:
{"formula": "PuMg2Ag", "functional": "GGA-PBE", "state": "relaxed", "space_group": "Cm (8)", "m_tot_mub_per_cell": 5.7, "delta_e_f_ev_per_atom": 0.02, "dos_at_fermi_per_ev_cell": 7.11, "cell": [[2.717, -1.568, 0.000], [2.717, 1.568, 0.000], [-1.769, 0.000, 10.284]], "species": ["Pu", "Mg", "Mg", "Ag"], "frac_coords": [[0.000, 0.000, 0.000], [0.239, 0.239, 0.723], [0.430, 0.430, 0.278], [0.835, 0.835, 0.501]]}


Entry 11:
{"formula": "Er2ThSe4", "functional": "GGA-PBE", "state": "relaxed", "space_group": "Cmcm (63)", "m_tot_mub_per_cell": 0.0, "e_form_raw_kj_per_mol_fu": -1159, "dos_at_fermi_per_ev_cell": 7.90, "cell": [[2.011, -6.680, 0.000], [2.011, 6.680, 0.000], [0.000, 0.000, 13.652]], "species": ["Er", "Er", "Er", "Er", "Th", "Th", "Se", "Se", "Se", "Se", "Se", "Se", "Se", "Se"], "frac_coords": [[0.134, 0.866, 0.566], [0.134, 0.866, 0.934], [0.866, 0.134, 0.066], [0.866, 0.134, 0.434], [0.375, 0.625, 0.750], [0.625, 0.375, 0.250], [0.037, 0.963, 0.750], [0.227, 0.773, 0.123], [0.227, 0.773, 0.377], [0.500, 0.500, 0.000], [0.500, 0.500, 0.500], [0.773, 0.227, 0.623], [0.773, 0.227, 0.877], [0.963, 0.037, 0.250]]}


Entry 12:
{"formula": "Pa2ZnOs", "functional": "GGA-PBE", "state": "relaxed", "space_group": "R-3m (166)", "m_tot_mub_per_cell": 0.0, "delta_e_f_ev_per_atom": 0.32, "dos_at_fermi_per_ev_cell": 5.90, "cell": [[1.529, 0.883, 10.899], [-1.529, 0.883, 10.899], [0.000, -1.766, 10.899]], "species": ["Pa", "Pa", "Zn", "Os"], "frac_coords": [[0.095, 0.095, 0.095], [0.905, 0.905, 0.905], [0.000, 0.000, 0.000], [0.500, 0.500, 0.500]]}


Entry 13:
{"formula": "Ac3In7Pt2", "functional": "GGA-PBE", "state": "relaxed", "space_group": "P2/m (10)", "m_tot_mub_per_cell": 0.0, "delta_e_f_ev_per_atom": -0.59, "dos_at_fermi_per_ev_cell": 7.68, "cell": [[4.793, 0.000, 0.000], [0.000, 4.737, 0.000], [-2.310, 0.000, 14.679]], "species": ["Ac", "Ac", "Ac", "In", "In", "In", "In", "In", "In", "In", "Pt", "Pt"], "frac_coords": [[0.000, 0.000, 0.000], [0.316, 0.500, 0.644], [0.684, 0.500, 0.356], [0.087, 0.500, 0.170], [0.224, 0.000, 0.446], [0.420, 0.000, 0.831], [0.500, 0.500, 0.000], [0.580, 0.000, 0.169], [0.776, 0.000, 0.554], [0.913, 0.500, 0.830], [0.124, 0.000, 0.264], [0.876, 0.000, 0.736]]}